Here is a relaxed structure of Sc2BeTe from Alexandria via LeMat-Bulk. Energies are from PBEsol.

Summary:
electronic total energy = -5.50 eV per atom
E above lowest polymorph = 217 meV per atom
space-group type = P4mm (99)
size of the total moment = 0.000 μB per atom

Geometry as CIF:
```
data_Sc2BeTe
_space_group_name_H-M_alt 'P 1'
_space_group_IT_number 1
_cell_length_a 3.817
_cell_length_b 3.817
_cell_length_c 5.723
_cell_angle_alpha 90.00
_cell_angle_beta 90.00
_cell_angle_gamma 90.00
loop_
_space_group_symop_operation_xyz
'x,y,z'
loop_
_atom_site_label
_atom_site_type_symbol
_atom_site_fract_x
_atom_site_fract_y
_atom_site_fract_z
Sc1 Sc 0.000 0.000 0.000
Sc2 Sc 0.500 0.500 0.327
Be1 Be 0.500 0.500 0.878
Te1 Te 0.000 0.000 0.508
```



Here is a relaxed structure of LiInCu3 from Alexandria via LeMat-Bulk. Energies are from PBEsol.

Summary:
electronic total energy = -3.06 eV per atom
E above lowest polymorph = 0 meV per atom
formation energy = 0.53 eV per atom
space-group type = Pm-3m (221)
size of the total moment = 0.000 μB per atom

Geometry as CIF:
```
data_LiInCu3
_space_group_name_H-M_alt 'P 1'
_space_group_IT_number 1
_cell_length_a 4.132
_cell_length_b 4.132
_cell_length_c 4.132
_cell_angle_alpha 90.00
_cell_angle_beta 90.00
_cell_angle_gamma 90.00
loop_
_space_group_symop_operation_xyz
'x,y,z'
loop_
_atom_site_label
_atom_site_type_symbol
_atom_site_fract_x
_atom_site_fract_y
_atom_site_fract_z
Li1 Li 0.000 0.000 0.000
In1 In 0.500 0.500 0.500
Cu1 Cu 0.000 0.000 0.500
Cu2 Cu 0.000 0.500 0.000
Cu3 Cu 0.500 0.000 0.000
```



Here is a relaxed structure of BeTeSe from Alexandria via LeMat-Bulk. Energies are from PBEsol.

Summary:
electronic total energy = -3.88 eV per atom
E above lowest polymorph = 55 meV per atom
space-group type = P3m1 (156)
size of the total moment = 0.000 μB per atom

Geometry as CIF:
```
data_BeTeSe
_space_group_name_H-M_alt 'P 1'
_space_group_IT_number 1
_cell_length_a 3.466
_cell_length_b 3.466
_cell_length_c 5.831
_cell_angle_alpha 90.00
_cell_angle_beta 90.00
_cell_angle_gamma 120.00
loop_
_space_group_symop_operation_xyz
'x,y,z'
loop_
_atom_site_label
_atom_site_type_symbol
_atom_site_fract_x
_atom_site_fract_y
_atom_site_fract_z
Be1 Be 0.000 0.000 0.000
Te1 Te 0.667 0.333 0.361
Se1 Se 0.333 0.667 0.852
```



Here is a relaxed structure of CsNbSn2P from Alexandria via LeMat-Bulk. Energies are from PBEsol.

Summary:
electronic total energy = -4.20 eV per atom
formation energy = 1.01 eV per atom
space-group type = P4/mmm (123)
size of the total moment = 0.688 μB per atom

Geometry as CIF:
```
data_CsNbSn2P
_space_group_name_H-M_alt 'P 1'
_space_group_IT_number 1
_cell_length_a 5.336
_cell_length_b 5.336
_cell_length_c 5.925
_cell_angle_alpha 90.00
_cell_angle_beta 90.00
_cell_angle_gamma 90.00
loop_
_space_group_symop_operation_xyz
'x,y,z'
loop_
_atom_site_label
_atom_site_type_symbol
_atom_site_fract_x
_atom_site_fract_y
_atom_site_fract_z
Cs1 Cs 0.000 0.000 0.000
Nb1 Nb 0.000 0.000 0.500
Sn1 Sn 0.000 0.500 0.500
Sn2 Sn 0.500 0.000 0.500
P1 P 0.500 0.500 0.000
```